No. 1
# PBE NpAsRuS, optimized geometry
data_NpAsRuS
_space_group_name_H-M_alt 'P 4/n m m'
_space_group_IT_number 129
_cell_length_a 4.259
_cell_length_b 4.259
_cell_length_c 8.409
_cell_angle_alpha 90.00
_cell_angle_beta 90.00
_cell_angle_gamma 90.00
loop_
_space_group_symop_operation_xyz
'x,y,z'
'-x,-y,-z'
'-y+1/2,x,z'
'y+1/2,-x,-z'
'-x+1/2,-y+1/2,z'
'x+1/2,y+1/2,-z'
'y,-x+1/2,z'
'-y,x+1/2,-z'
'x+1/2,-y,-z'
'-x+1/2,y,z'
'-y,-x,-z'
'y,x,z'
'-x,y+1/2,-z'
'x,-y+1/2,z'
'y+1/2,x+1/2,-z'
'-y+1/2,-x+1/2,z'
loop_
_atom_site_label
_atom_site_type_symbol
_atom_site_fract_x
_atom_site_fract_y
_atom_site_fract_z
Np1 Np 0.250 0.250 0.194
As1 As 0.250 0.250 0.651
Ru1 Ru 0.250 0.750 0.500
S1 S 0.250 0.750 0.000
# energy relative to the elements, uncorrected: -0.7495 eV/atom
# final energy: -8.498 eV/atom


No. 2
# PBE NpAsRuSe, optimized geometry
data_NpAsRuSe
_space_group_name_H-M_alt 'P 4/n m m'
_space_group_IT_number 129
_cell_length_a 4.205
_cell_length_b 4.205
_cell_length_c 8.929
_cell_angle_alpha 90.00
_cell_angle_beta 90.00
_cell_angle_gamma 90.00
loop_
_space_group_symop_operation_xyz
'x,y,z'
'-x,-y,-z'
'-y+1/2,x,z'
'y+1/2,-x,-z'
'-x+1/2,-y+1/2,z'
'x+1/2,y+1/2,-z'
'y,-x+1/2,z'
'-y,x+1/2,-z'
'x+1/2,-y,-z'
'-x+1/2,y,z'
'-y,-x,-z'
'y,x,z'
'-x,y+1/2,-z'
'x,-y+1/2,z'
'y+1/2,x+1/2,-z'
'-y+1/2,-x+1/2,z'
loop_
_atom_site_label
_atom_site_type_symbol
_atom_site_fract_x
_atom_site_fract_y
_atom_site_fract_z
Np1 Np 0.250 0.250 0.228
As1 As 0.250 0.250 0.650
Ru1 Ru 0.250 0.750 0.500
Se1 Se 0.250 0.750 0.000
# energy relative to the elements, uncorrected: -0.5900 eV/atom
# final energy: -8.178 eV/atom


No. 3
# PBE NpTcAs2Ru, optimized geometry
data_NpTcAs2Ru
_space_group_name_H-M_alt 'I -4 m 2'
_space_group_IT_number 119
_space_group_name_Hall 'I -4 -2'
_cell_length_a 4.233
_cell_length_b 4.233
_cell_length_c 10.122
_cell_angle_alpha 90.00
_cell_angle_beta 90.00
_cell_angle_gamma 90.00
loop_
_atom_site_label
_atom_site_type_symbol
_atom_site_fract_x
_atom_site_fract_y
_atom_site_fract_z
Np1 Np 0.000 0.000 0.000
Tc1 Tc 0.000 0.500 0.250
As1 As 0.000 0.000 0.371
Ru1 Ru 0.000 0.500 0.750
# DFT formation energy: -0.331 eV/atom
# final energy: -8.707 eV/atom


No. 4
# PBE NpUAs2Ru2, optimized geometry
data_NpUAs2Ru2
_space_group_name_H-M_alt 'P -3 m 1'
_space_group_IT_number 164
_space_group_name_Hall '-P 3 2"'
_cell_length_a 4.2136
_cell_length_b 4.2136
_cell_length_c 7.3760
_cell_angle_alpha 90.00
_cell_angle_beta 90.00
_cell_angle_gamma 120.00
loop_
_atom_site_label
_atom_site_type_symbol
_atom_site_fract_x
_atom_site_fract_y
_atom_site_fract_z
Np1 Np 0.0000 0.0000 0.0000
U1 U 0.0000 0.0000 0.5000
As1 As 0.3333 0.6667 0.2255
Ru1 Ru 0.3333 0.6667 0.7053
# DFT formation energy: -0.462 eV/atom
# final energy: -9.142 eV/atom


No. 5
# PBE NpVAs2Ru, optimized geometry
data_NpVAs2Ru
_space_group_name_H-M_alt 'I -4 m 2'
_space_group_IT_number 119
_space_group_name_Hall 'I -4 -2'
_cell_length_a 3.925
_cell_length_b 3.925
_cell_length_c 11.629
_cell_angle_alpha 90.00
_cell_angle_beta 90.00
_cell_angle_gamma 90.00
loop_
_atom_site_label
_atom_site_type_symbol
_atom_site_fract_x
_atom_site_fract_y
_atom_site_fract_z
Np1 Np 0.000 0.000 0.000
V1 V 0.000 0.500 0.250
As1 As 0.000 0.000 0.380
Ru1 Ru 0.000 0.500 0.750
# DFT formation energy: -0.372 eV/atom
# final energy: -8.499 eV/atom


No. 6
# PBE Np6AsS5, optimized geometry
data_Np6AsS5
_space_group_name_H-M_alt 'C 1 2/m 1'
_space_group_IT_number 12
_space_group_name_Hall '-C 2y'
_cell_length_a 6.823
_cell_length_b 11.829
_cell_length_c 6.836
_cell_angle_alpha 90.00
_cell_angle_beta 109.48
_cell_angle_gamma 90.00
loop_
_atom_site_label
_atom_site_type_symbol
_atom_site_fract_x
_atom_site_fract_y
_atom_site_fract_z
Np1 Np 0.243 0.000 0.253
Np2 Np 0.244 0.171 0.744
As1 As 0.000 0.500 0.000
S1 S 0.000 0.000 0.500
S2 S 0.000 0.167 0.000
S3 S 0.000 0.338 0.500
# energy relative to the elements, uncorrected: -1.2476 eV/atom
# final energy: -9.825 eV/atom


No. 7
# PBE NpAsS4, optimized geometry
data_NpAsS4
_space_group_name_H-M_alt 'C m c m'
_space_group_IT_number 63
_space_group_name_Hall '-C 2c 2'
_cell_length_a 9.039
_cell_length_b 7.437
_cell_length_c 8.859
_cell_angle_alpha 90.00
_cell_angle_beta 90.00
_cell_angle_gamma 90.00
loop_
_atom_site_label
_atom_site_type_symbol
_atom_site_fract_x
_atom_site_fract_y
_atom_site_fract_z
Np1 Np 0.000 0.140 0.250
As1 As 0.000 0.382 0.750
S1 S 0.000 0.163 0.562
S2 S 0.194 0.437 0.250
# energy relative to the elements, uncorrected: -0.5053 eV/atom
# final energy: -6.189 eV/atom


No. 8
# PBE Np2AsS2, optimized geometry
data_Np2AsS2
_space_group_name_H-M_alt 'R -3 m'
_space_group_IT_number 166
_space_group_name_Hall '-R 3 2"'
_cell_length_a 4.0687
_cell_length_b 4.0687
_cell_length_c 29.0087
_cell_angle_alpha 90.00
_cell_angle_beta 90.00
_cell_angle_gamma 120.00
loop_
_atom_site_label
_atom_site_type_symbol
_atom_site_fract_x
_atom_site_fract_y
_atom_site_fract_z
Np1 Np 0.0000 0.0000 0.1061
As1 As 0.0000 0.0000 0.5000
S1 S 0.0000 0.0000 0.2706
# energy relative to the elements, uncorrected: -1.0406 eV/atom
# final energy: -8.798 eV/atom


No. 9
# PBE NpAsS2, optimized geometry
data_NpAsS2
_space_group_name_H-M_alt 'R -3 m'
_space_group_IT_number 166
_space_group_name_Hall '-R 3 2"'
_cell_length_a 3.5679
_cell_length_b 3.5679
_cell_length_c 25.2639
_cell_angle_alpha 90.00
_cell_angle_beta 90.00
_cell_angle_gamma 120.00
loop_
_atom_site_label
_atom_site_type_symbol
_atom_site_fract_x
_atom_site_fract_y
_atom_site_fract_z
Np1 Np 0.0000 0.0000 0.0000
As1 As 0.0000 0.0000 0.5000
S1 S 0.0000 0.0000 0.1074
# energy relative to the elements, uncorrected: 0.0619 eV/atom
# final energy: -6.399 eV/atom


No. 10
# PBE Np2AsS5, optimized geometry
data_Np2AsS5
_space_group_name_H-M_alt 'P b a m'
_space_group_IT_number 55
_space_group_name_Hall '-P 2 2ab'
_cell_length_a 7.543
_cell_length_b 11.189
_cell_length_c 3.805
_cell_angle_alpha 90.00
_cell_angle_beta 90.00
_cell_angle_gamma 90.00
loop_
_atom_site_label
_atom_site_type_symbol
_atom_site_fract_x
_atom_site_fract_y
_atom_site_fract_z
Np1 Np 0.041 0.175 0.000
As1 As 0.000 0.500 0.500
S1 S 0.000 0.000 0.500
S2 S 0.167 0.697 0.500
S3 S 0.174 0.406 0.000
# energy relative to the elements, uncorrected: -0.9441 eV/atom
# final energy: -7.340 eV/atom


No. 11
# PBE NpAs2S6, optimized geometry
data_NpAs2S6
_space_group_name_H-M_alt 'C 1 2/c 1'
_space_group_IT_number 15
_space_group_name_Hall '-C 2yc'
_cell_length_a 14.384
_cell_length_b 11.010
_cell_length_c 6.290
_cell_angle_alpha 90.00
_cell_angle_beta 91.58
_cell_angle_gamma 90.00
loop_
_atom_site_label
_atom_site_type_symbol
_atom_site_fract_x
_atom_site_fract_y
_atom_site_fract_z
Np1 Np 0.000 0.103 0.250
As1 As 0.192 0.415 0.329
S1 S 0.097 0.067 0.927
S2 S 0.110 0.252 0.449
S3 S 0.113 0.433 0.009
# energy relative to the elements, uncorrected: -0.3396 eV/atom
# final energy: -5.562 eV/atom


No. 12
# PBE Np4AsS3, optimized geometry
data_Np4AsS3
_space_group_name_H-M_alt 'P m -3 m'
_space_group_IT_number 221
_space_group_name_Hall '-P 4 2 3'
_cell_length_a 5.614
_cell_length_b 5.614
_cell_length_c 5.614
_cell_angle_alpha 90.00
_cell_angle_beta 90.00
_cell_angle_gamma 90.00
loop_
_atom_site_label
_atom_site_type_symbol
_atom_site_fract_x
_atom_site_fract_y
_atom_site_fract_z
Np1 Np 0.000 0.000 0.000
Np2 Np 0.000 0.500 0.500
As1 As 0.500 0.500 0.500
S1 S 0.000 0.000 0.500
# energy relative to the elements, uncorrected: -1.1830 eV/atom
# final energy: -9.782 eV/atom